SCAN GeSbMo3, PBEsol geometry; space-group type = Pm-3m (221); raw formation energy = 2.18 eV per atom; DOS(E_F) = 3.99 states/eV per cell; M_tot = 0.0 μB/cell
1.0
4.836 0.000 0.000
0.000 4.836 0.000
0.000 0.000 4.836
Mo Sb Ge
3 1 1
Direct
0.500 0.000 0.000
0.000 0.500 0.000
0.000 0.000 0.500
0.000 0.000 0.000
0.500 0.500 0.500